(1)
This record from the Alexandria database describes a relaxed structure of CePmBiSb. The functional is PBE.

Cell and atoms, written as CIF:
```
data_CePmBiSb
_symmetry_space_group_name_H-M 'R 3 m'
_symmetry_Int_Tables_number 160
_symmetry_space_group_name_Hall 'R 3 -2"'
_cell_length_a 4.5398
_cell_length_b 4.5398
_cell_length_c 22.2784
_cell_angle_alpha 90.00
_cell_angle_beta 90.00
_cell_angle_gamma 120.00
loop_
_atom_site_label
_atom_site_type_symbol
_atom_site_fract_x
_atom_site_fract_y
_atom_site_fract_z
Ce1 Ce 0.0000 0.0000 0.0000
Pm1 Pm 0.0000 0.0000 0.4960
Bi1 Bi 0.0000 0.0000 0.2484
Sb1 Sb 0.0000 0.0000 0.7479
```

Calculated values
**ΔE to the lowest computed polymorph**: 0.000 eV/atom
**Uncorrected formation energy**: -995 meV/atom
**Uncorrected energy**: -5.667 eV per atom
**Magnetic moment**: 0.80 μB per formula unit

---

(2)
This record from the Alexandria database describes a relaxed structure of TlHg2Mo. The functional is PBE.

Cell and atoms, written as CIF:
```
data_TlHg2Mo
_symmetry_space_group_name_H-M 'I 4/m m m'
_symmetry_Int_Tables_number 139
_symmetry_space_group_name_Hall '-I 4 2'
_cell_length_a 4.112
_cell_length_b 4.112
_cell_length_c 10.071
_cell_angle_alpha 90.00
_cell_angle_beta 90.00
_cell_angle_gamma 90.00
loop_
_atom_site_label
_atom_site_type_symbol
_atom_site_fract_x
_atom_site_fract_y
_atom_site_fract_z
Tl1 Tl 0.000 0.000 0.000
Hg1 Hg 0.000 0.500 0.250
Mo1 Mo 0.000 0.000 0.500
```

Calculated values
**ΔE to the lowest computed polymorph**: 0.159 eV/atom
**Uncorrected energy**: -2.779 eV per atom
**Magnetic moment**: 0.93 μB per formula unit
**Formation enthalpy at 0 K**: 671 meV per atom

---

(3)
This record from the Alexandria database describes a relaxed structure of CaHgH2. The functional is PBE.

Cell and atoms, written as CIF:
```
data_CaHgH2
_symmetry_space_group_name_H-M 'R -3 m'
_symmetry_Int_Tables_number 166
_symmetry_space_group_name_Hall '-R 3 2"'
_cell_length_a 3.6456
_cell_length_b 3.6456
_cell_length_c 19.1412
_cell_angle_alpha 90.00
_cell_angle_beta 90.00
_cell_angle_gamma 120.00
loop_
_atom_site_label
_atom_site_type_symbol
_atom_site_fract_x
_atom_site_fract_y
_atom_site_fract_z
Ca1 Ca 0.0000 0.0000 0.0000
Hg1 Hg 0.0000 0.0000 0.5000
H1 H 0.0000 0.0000 0.2892
```

Calculated values
**ΔE to the lowest computed polymorph**: 0.000 eV/atom
**Uncorrected energy**: -2.549 eV per atom
**Magnetic moment**: 0.00 μB per formula unit

---

(4)
This record from the Alexandria database describes a relaxed structure of TbSmTlPb. The functional is PBE.

Cell and atoms, written as CIF:
```
data_TbSmTlPb
_symmetry_space_group_name_H-M 'F -4 3 m'
_symmetry_Int_Tables_number 216
_symmetry_space_group_name_Hall 'F -4 2 3'
_cell_length_a 7.719
_cell_length_b 7.719
_cell_length_c 7.719
_cell_angle_alpha 90.00
_cell_angle_beta 90.00
_cell_angle_gamma 90.00
loop_
_atom_site_label
_atom_site_type_symbol
_atom_site_fract_x
_atom_site_fract_y
_atom_site_fract_z
Tb1 Tb 0.000 0.000 0.000
Sm1 Sm 0.000 0.000 0.500
Tl1 Tl 0.250 0.250 0.750
Pb1 Pb 0.250 0.250 0.250
```

Calculated values
**ΔE to the lowest computed polymorph**: 0.035 eV/atom
**Uncorrected energy**: -4.246 eV per atom
**Magnetic moment**: 0.00 μB per formula unit
**Formation enthalpy at 0 K**: -390 meV per atom

---

(5)
This record from the Alexandria database describes a relaxed structure of LuBeRu. The functional is PBE.

Cell and atoms, written as CIF:
```
data_LuBeRu
_symmetry_space_group_name_H-M 'P -6 m 2'
_symmetry_Int_Tables_number 187
_symmetry_space_group_name_Hall 'P -6 2'
_cell_length_a 3.9758
_cell_length_b 3.9758
_cell_length_c 3.6018
_cell_angle_alpha 90.00
_cell_angle_beta 90.00
_cell_angle_gamma 120.00
loop_
_atom_site_label
_atom_site_type_symbol
_atom_site_fract_x
_atom_site_fract_y
_atom_site_fract_z
Lu1 Lu 0.0000 0.0000 0.0000
Be1 Be 0.3333 0.6667 0.5000
Ru1 Ru 0.6667 0.3333 0.5000
```

Calculated values
**ΔE to the lowest computed polymorph**: 0.000 eV/atom
**Uncorrected energy**: -6.185 eV per atom
**Magnetic moment**: 0.00 μB per formula unit
**Formation enthalpy at 0 K**: -344 meV per atom

---

(6)
This record from the Alexandria database describes a relaxed structure of MgAlFe. The functional is PBE.

Cell and atoms, written as CIF:
```
data_MgAlFe
_symmetry_space_group_name_H-M 'F -4 3 m'
_symmetry_Int_Tables_number 216
_symmetry_space_group_name_Hall 'F -4 2 3'
_cell_length_a 6.022
_cell_length_b 6.022
_cell_length_c 6.022
_cell_angle_alpha 90.00
_cell_angle_beta 90.00
_cell_angle_gamma 90.00
loop_
_atom_site_label
_atom_site_type_symbol
_atom_site_fract_x
_atom_site_fract_y
_atom_site_fract_z
Mg1 Mg 0.000 0.000 0.000
Al1 Al 0.000 0.000 0.500
Fe1 Fe 0.250 0.250 0.750
```

Calculated values
**Uncorrected energy**: -4.261 eV per atom
**Magnetic moment**: 2.06 μB per formula unit
**Formation enthalpy at 0 K**: 339 meV per atom

---

(7)
This record from the Alexandria database describes a relaxed structure of Sr2ZnPt. The functional is PBE.

Cell and atoms, written as CIF:
```
data_Sr2ZnPt
_symmetry_space_group_name_H-M 'I m m 2'
_symmetry_Int_Tables_number 44
_symmetry_space_group_name_Hall 'I 2 -2'
_cell_length_a 4.308
_cell_length_b 4.390
_cell_length_c 14.422
_cell_angle_alpha 90.00
_cell_angle_beta 90.00
_cell_angle_gamma 90.00
loop_
_atom_site_label
_atom_site_type_symbol
_atom_site_fract_x
_atom_site_fract_y
_atom_site_fract_z
Sr1 Sr 0.000 0.000 0.000
Sr2 Sr 0.000 0.500 0.239
Zn1 Zn 0.000 0.000 0.568
Pt1 Pt 0.000 0.500 0.656
```

Calculated values
**Uncorrected energy**: -3.157 eV per atom
**Magnetic moment**: 0.00 μB per formula unit
**Formation enthalpy at 0 K**: -487 meV per atom

---

(8)
This record from the Alexandria database describes a relaxed structure of Ba4TePb. The functional is PBE.

Cell and atoms, written as CIF:
```
data_Ba4TePb
_symmetry_space_group_name_H-M 'F -4 3 m'
_symmetry_Int_Tables_number 216
_symmetry_space_group_name_Hall 'F -4 2 3'
_cell_length_a 10.151
_cell_length_b 10.151
_cell_length_c 10.151
_cell_angle_alpha 90.00
_cell_angle_beta 90.00
_cell_angle_gamma 90.00
loop_
_atom_site_label
_atom_site_type_symbol
_atom_site_fract_x
_atom_site_fract_y
_atom_site_fract_z
Ba1 Ba 0.125 0.125 0.125
Te1 Te 0.000 0.000 0.500
Pb1 Pb 0.250 0.250 0.750
```

Calculated values
**Uncorrected formation energy**: -75 meV/atom
**Uncorrected energy**: -2.498 eV per atom
**Magnetic moment**: 0.00 μB per formula unit

---

(9)
This record from the Alexandria database describes a relaxed structure of Li2HgIrN. The functional is PBE.

Cell and atoms, written as CIF:
```
data_Li2HgIrN
_symmetry_space_group_name_H-M 'P 4/m m m'
_symmetry_Int_Tables_number 123
_symmetry_space_group_name_Hall '-P 4 2'
_cell_length_a 4.375
_cell_length_b 4.375
_cell_length_c 3.750
_cell_angle_alpha 90.00
_cell_angle_beta 90.00
_cell_angle_gamma 90.00
loop_
_atom_site_label
_atom_site_type_symbol
_atom_site_fract_x
_atom_site_fract_y
_atom_site_fract_z
Li1 Li 0.000 0.500 0.000
Hg1 Hg 0.000 0.000 0.500
Ir1 Ir 0.500 0.500 0.500
N1 N 0.500 0.500 0.000
```

Calculated values
**Uncorrected formation energy**: -298 meV/atom
**Uncorrected energy**: -4.561 eV per atom
**Magnetic moment**: 0.00 μB per formula unit

---

(10)
This record from the Alexandria database describes a relaxed structure of Nd3Y2Er5. The functional is PBE.

Cell and atoms, written as CIF:
```
data_Nd3Y2Er5
_symmetry_space_group_name_H-M 'C 1 2/c 1'
_symmetry_Int_Tables_number 15
_symmetry_space_group_name_Hall '-C 2yc'
_cell_length_a 10.695
_cell_length_b 15.831
_cell_length_c 9.464
_cell_angle_alpha 90.00
_cell_angle_beta 124.27
_cell_angle_gamma 90.00
loop_
_atom_site_label
_atom_site_type_symbol
_atom_site_fract_x
_atom_site_fract_y
_atom_site_fract_z
Nd1 Nd 0.000 0.233 0.250
Nd2 Nd 0.147 0.124 0.047
Y1 Y 0.150 0.382 0.547
Er1 Er 0.000 0.025 0.250
Er2 Er 0.000 0.271 0.750
Er3 Er 0.000 0.471 0.750
Er4 Er 0.243 0.387 0.236
```

Calculated values
**Uncorrected energy**: -4.810 eV per atom
**Magnetic moment**: 0.00 μB per formula unit
**Formation enthalpy at 0 K**: 194 meV per atom

---

(11)
This record from the Alexandria database describes a relaxed structure of BeNiSe. The functional is PBE.

Cell and atoms, written as CIF:
```
data_BeNiSe
_symmetry_space_group_name_H-M 'P 1'
_symmetry_Int_Tables_number 1
_symmetry_space_group_name_Hall 'P 1'
_cell_length_a 3.700
_cell_length_b 3.700
_cell_length_c 8.324
_cell_angle_alpha 77.59
_cell_angle_beta 89.82
_cell_angle_gamma 60.01
loop_
_atom_site_label
_atom_site_type_symbol
_atom_site_fract_x
_atom_site_fract_y
_atom_site_fract_z
Be1 Be 0.000 0.000 0.000
Be2 Be 0.268 0.466 0.791
Ni1 Ni 0.618 0.766 0.844
Ni2 Ni 0.901 0.203 0.682
Se1 Se 0.527 0.952 0.553
Se2 Se 0.706 0.586 0.125
```

Calculated values
**Uncorrected formation energy**: -351 meV/atom
**Uncorrected energy**: -4.682 eV per atom
**Magnetic moment**: 0.00 μB per formula unit

---

(12)
This record from the Alexandria database describes a relaxed structure of KTbC2O6. The functional is PBE.

Cell and atoms, written as CIF:
```
data_KTbC2O6
_symmetry_space_group_name_H-M 'C 1 2/c 1'
_symmetry_Int_Tables_number 15
_symmetry_space_group_name_Hall '-C 2yc'
_cell_length_a 8.499
_cell_length_b 9.685
_cell_length_c 7.085
_cell_angle_alpha 90.00
_cell_angle_beta 110.41
_cell_angle_gamma 90.00
loop_
_atom_site_label
_atom_site_type_symbol
_atom_site_fract_x
_atom_site_fract_y
_atom_site_fract_z
K1 K 0.000 0.120 0.250
Tb1 Tb 0.000 0.408 0.750
C1 C 0.230 0.373 0.250
O1 O 0.084 0.383 0.102
O2 O 0.177 0.233 0.732
O3 O 0.231 0.026 0.622
```

Calculated values
**Uncorrected formation energy**: -2158 meV/atom
**Uncorrected energy**: -7.550 eV per atom
**Magnetic moment**: 0.00 μB per formula unit